First-principles (GGA-PBE) data for a relaxed structure of ZrReIr2, as listed in the Alexandria database.

Output
SG ... I4/mmm, No. 139
ΔE_f ... -35 kJ per mole of atoms
E_tot ... -10.0412 eV/atom
Distance to the lowest polymorph of the same formula ... 0.044 eV per atom

Lattice parameters (Å, degrees): 4.873 4.873 4.873 131.13 131.14 71.59
Fractional coordinates of all 4 atoms:
1 Ir 0.000 0.000 0.000
2 Ir 0.500 0.500 0.000
3 Re 0.750 0.250 0.500
4 Zr 0.250 0.750 0.500